[1]
Entry from Alexandria via LeMat-Bulk: a relaxed structure of BaBe2Cr (PBE-GGA).

The formation enthalpy at 0 K is 0.41 eV/atom. As for the density: 4.247 g/cm³. For the distance to the lowest polymorph of the same formula, the calculation gives 0 meV per atom. Its density of states at the Fermi level is 2.7 states/eV/f.u.

The structure belongs to space group R3m (No. 160, hexagonal axes); the cell edges are 3.9751, 3.9751 and 17.7733 Å and the angles 90.00°, 90.00° and 120.00°. The inequivalent atoms are Ba at (0.0000, 0.0000, 0.0000), Be at (0.0000, 0.0000, 0.4912), Be at (0.0000, 0.0000, 0.8159) and Cr at (0.0000, 0.0000, 0.1866).

=====

[2]
Entry from Alexandria via LeMat-Bulk: a relaxed structure of Ba2CrMo (PBE-GGA).

The formation enthalpy at 0 K is 1.19 eV/atom. As for the density: 5.150 g/cm³. For the distance to the lowest polymorph of the same formula, the calculation gives 467 meV per atom. Its density of states at the Fermi level is 3.3 states/eV/f.u.

The structure belongs to space group P4/mmm (No. 123); the cell edges are 5.5393, 5.5393 and 4.4411 Å and the angles 90.00°, 90.00° and 90.00°. The inequivalent atoms are Ba at (0.0000, 0.5000, 0.0000), Cr at (0.0000, 0.0000, 0.5000) and Mo at (0.5000, 0.5000, 0.5000).